The following is a GGA-PBE calculation of a geometry-optimized K3Ho3AlS8 structure, from the Alexandria database.

## Properties
Total magnetic moment (μB/f.u.): 0.0
Mass density (g/cm³): 3.74
Space group: No. 166
Volume (Å³/cell): 398

Lattice parameters (Å, degrees): 8.793 8.793 8.793 52.66 52.66 52.66
Atoms (fractional coordinates):
K: 0.000 0.500 0.500
K: 0.500 0.000 0.500
K: 0.500 0.500 0.000
Ho: 0.000 0.000 0.500
Ho: 0.000 0.500 0.000
Ho: 0.500 0.000 0.000
Al: 0.500 0.500 0.500
S: 0.234 0.234 0.234
S: 0.255 0.716 0.716
S: 0.284 0.284 0.745
S: 0.284 0.745 0.284
S: 0.716 0.255 0.716
S: 0.716 0.716 0.255
S: 0.745 0.284 0.284
S: 0.766 0.766 0.766


The following is a GGA-PBE calculation of a geometry-optimized K2HoAlS4 structure, from the Alexandria database.

## Properties
Total magnetic moment (μB/f.u.): 0.0
Mass density (g/cm³): 3.55
Space group: No. 74
Volume (Å³/cell): 372

Lattice parameters (Å, degrees): 8.085 8.085 8.085 121.85 118.48 89.74
Atoms (fractional coordinates):
K: 0.000 0.000 0.000
K: 0.500 0.000 0.000
K: 0.500 0.000 0.500
K: 0.500 0.500 0.500
Ho: 0.000 0.500 0.500
Ho: 0.500 0.500 0.000
Al: 0.000 0.000 0.500
Al: 0.000 0.500 0.000
S: 0.190 0.740 0.449
S: 0.209 0.260 0.949
S: 0.224 0.247 0.523
S: 0.224 0.702 0.977
S: 0.776 0.298 0.023
S: 0.776 0.753 0.477
S: 0.791 0.740 0.051
S: 0.810 0.260 0.551


The following is a GGA-PBE calculation of a geometry-optimized K4Ho3AlS8 structure, from the Alexandria database.

## Properties
Total magnetic moment (μB/f.u.): 0.0
Mass density (g/cm³): 3.91
Space group: No. 166
Volume (Å³/cell): 397

Lattice parameters (Å, degrees): 8.651 8.651 8.651 54.34 54.34 54.34
Atoms (fractional coordinates):
K: 0.000 0.000 0.000
K: 0.000 0.500 0.500
K: 0.500 0.000 0.500
K: 0.500 0.500 0.000
Ho: 0.000 0.000 0.500
Ho: 0.000 0.500 0.000
Ho: 0.500 0.000 0.000
Al: 0.500 0.500 0.500
S: 0.234 0.234 0.234
S: 0.253 0.720 0.720
S: 0.280 0.280 0.747
S: 0.280 0.747 0.280
S: 0.720 0.253 0.720
S: 0.720 0.720 0.253
S: 0.747 0.280 0.280
S: 0.766 0.766 0.766


The following is a GGA-PBE calculation of a geometry-optimized K3Ho2AlSe6 structure, from the Alexandria database.

## Properties
Total magnetic moment (μB/f.u.): 0.0
Mass density (g/cm³): 4.71
Space group: No. 12
Volume (Å³/cell): 334

Lattice parameters (Å, degrees): 7.099 7.099 8.020 98.53 98.53 120.02
Atoms (fractional coordinates):
K: 0.000 0.000 0.000
K: 0.329 0.671 0.000
K: 0.671 0.329 0.000
Ho: 0.166 0.834 0.500
Ho: 0.834 0.166 0.500
Al: 0.500 0.500 0.500
Se: 0.124 0.435 0.304
Se: 0.256 0.256 0.697
Se: 0.435 0.124 0.304
Se: 0.565 0.876 0.696
Se: 0.744 0.744 0.303
Se: 0.876 0.565 0.696


The DFT total energy results, record by record, are as follows: -5.17 -4.77 -5.09 -4.57 eV per atom.